Compound: Fe2SnO
Source: the Alexandria database
Functional: PBE with a Hubbard U
Structure: relaxed

Properties
- Magnetic moment: 5.79 μB/cell
- Total DFT energy (no corrections): -17.6 eV for the cell shown
- SG: Fm-3m (225)

POSCAR file:
```
Fe2SnO
1.0
2.267 -3.829 0.315
2.957 -0.577 3.290
-0.882 -2.848 3.318
Sn O Fe
1 1 2
Cartesian
2.171 -3.627 3.462
0.000 0.000 0.000
1.086 -1.814 1.731
3.257 -5.441 5.193
```